Entry 1:
This record from Alexandria describes a geometry-optimized AlZn2Ga4 structure. The functional is PBE.

Its calculated total energy is -17.6 eV/cell. The value obtained for the energy above the most stable polymorph in this dataset is 70.4 meV per atom.

Cell lengths 5.5184, 5.5184, 5.5184 Å; angles 105.94, 105.94, 116.79 degrees
Positions (direct):
Al  0.5000  0.5000  0.0000
Zn  0.2500  0.7500  0.5000
Zn  0.7500  0.2500  0.5000
Ga  0.2077  0.2077  0.4153
Ga  0.7923  0.2077  0.0000
Ga  0.2077  0.7923  0.0000
Ga  0.7923  0.7923  0.5847

Entry 2:
This record from Alexandria describes a geometry-optimized Al2Zn2Ga7 structure. The functional is PBE.

Its calculated total energy is -30.6 eV/cell. The value obtained for the energy above the most stable polymorph in this dataset is 0.0 meV per atom.

Cell lengths 4.8975, 7.1674, 7.1674 Å; angles 90.06, 65.34, 65.34 degrees
Positions (direct):
Al  0.5000  0.7503  0.2497
Al  0.5000  0.2497  0.7503
Zn  0.7137  0.8417  0.8417
Zn  0.2863  0.1583  0.1583
Ga  0.1728  0.5442  0.1267
Ga  0.8272  0.8733  0.4558
Ga  0.8272  0.4558  0.8733
Ga  0.1728  0.1267  0.5442
Ga  0.4205  0.6592  0.6592
Ga  0.0000  0.0000  0.0000
Ga  0.5795  0.3408  0.3408

Entry 3:
This record from Alexandria describes a geometry-optimized AlZn2Ga6 structure. The functional is PBE.

Its calculated total energy is -23.9 eV/cell. The value obtained for the energy above the most stable polymorph in this dataset is 0.0 meV per atom.

Cell lengths 5.8485, 5.8485, 6.6009 Å; angles 63.70, 63.70, 60.00 degrees
Positions (direct):
Al  0.3683  0.3683  0.8952
Zn  0.6692  0.6692  0.9923
Zn  0.5198  0.5198  0.4405
Ga  0.8807  0.4154  0.6669
Ga  0.0370  0.8807  0.6669
Ga  0.4154  0.0370  0.6669
Ga  0.1573  0.6241  0.2248
Ga  0.9939  0.1573  0.2248
Ga  0.6241  0.9939  0.2248

Entry 4:
This record from Alexandria describes a geometry-optimized AlZn3Ga structure. The functional is PBE.

Its calculated total energy is -20.4 eV/cell. The value obtained for the energy above the most stable polymorph in this dataset is 57.4 meV per atom.

Cell lengths 2.6658, 8.6017, 8.6017 Å; angles 70.66, 71.71, 71.71 degrees
Positions (direct):
Al  0.4436  0.4075  0.4075
Al  0.5564  0.5925  0.5925
Zn  0.8392  0.1810  0.1810
Zn  0.1608  0.8190  0.8190
Zn  0.0977  0.5425  0.1216
Zn  0.9023  0.8784  0.4575
Zn  0.9023  0.4575  0.8784
Zn  0.0977  0.1216  0.5425
Ga  0.5000  0.1447  0.8553
Ga  0.5000  0.8553  0.1447

Entry 5:
This record from Alexandria describes a geometry-optimized AlZn2Ga6 structure. The functional is PBE.

Its calculated total energy is -47.8 eV/cell. The value obtained for the energy above the most stable polymorph in this dataset is 6.7 meV per atom.

Cell lengths 6.3805, 7.2271, 7.2271 Å; angles 89.40, 84.06, 84.06 degrees
Positions (direct):
Al  0.2500  0.1559  0.8441
Al  0.7500  0.8441  0.1559
Zn  0.1416  0.6298  0.7420
Zn  0.3584  0.2580  0.3702
Zn  0.8584  0.3702  0.2580
Zn  0.6416  0.7420  0.6298
Ga  0.4792  0.6054  0.3238
Ga  0.0208  0.6762  0.3946
Ga  0.5208  0.3946  0.6762
Ga  0.9792  0.3238  0.6054
Ga  0.7189  0.0709  0.4726
Ga  0.7811  0.5274  0.9291
Ga  0.2811  0.9291  0.5274
Ga  0.2189  0.4726  0.0709
Ga  0.3962  0.7997  0.9640
Ga  0.1038  0.0360  0.2003
Ga  0.6038  0.2003  0.0360
Ga  0.8962  0.9640  0.7997

Entry 6:
This record from Alexandria describes a geometry-optimized Al2Zn2Ga3 structure. The functional is PBE.

Its calculated total energy is -18.7 eV/cell. The value obtained for the energy above the most stable polymorph in this dataset is 0.0 meV per atom.

Cell lengths 3.9271, 4.1732, 8.1956 Å; angles 74.15, 103.86, 90.00 degrees
Positions (direct):
Al  0.6187  0.8797  0.2374
Al  0.3813  0.1203  0.7626
Zn  0.8942  0.6114  0.7884
Zn  0.1058  0.3886  0.2116
Ga  0.0000  0.0000  0.0000
Ga  0.7400  0.2592  0.4801
Ga  0.2600  0.7408  0.5199

Entry 7:
This record from Alexandria describes a geometry-optimized Al5Zn2Ga12 structure. The functional is PBE.

Its calculated total energy is -56.4 eV/cell. The value obtained for the energy above the most stable polymorph in this dataset is 0.0 meV per atom.

Cell lengths 6.3152, 7.5554, 7.5554 Å; angles 72.06, 89.29, 89.29 degrees
Positions (direct):
Al  0.4776  0.2407  0.2407
Al  0.9125  0.3349  0.3349
Al  0.5000  0.0000  0.0000
Al  0.0875  0.6651  0.6651
Al  0.5224  0.7593  0.7593
Zn  0.0000  0.2553  0.7447
Zn  0.0000  0.7447  0.2553
Ga  0.9093  0.8793  0.8793
Ga  0.2015  0.5727  0.0404
Ga  0.2015  0.0404  0.5727
Ga  0.6061  0.6303  0.1635
Ga  0.6061  0.1635  0.6303
Ga  0.2818  0.4507  0.4507
Ga  0.7182  0.5493  0.5493
Ga  0.3939  0.3697  0.8365
Ga  0.3939  0.8365  0.3697
Ga  0.7985  0.4273  0.9596
Ga  0.7985  0.9596  0.4273
Ga  0.0907  0.1207  0.1207

Entry 8:
This record from Alexandria describes a geometry-optimized Al8Zn2Ga structure. The functional is PBE.

Its calculated total energy is -35.3 eV/cell. The value obtained for the energy above the most stable polymorph in this dataset is 0.0 meV per atom.

Cell lengths 4.0837, 6.3404, 7.5023 Å; angles 104.49, 105.79, 90.00 degrees
Positions (direct):
Al  0.4074  0.5412  0.8148
Al  0.6830  0.9108  0.3660
Al  0.8617  0.8129  0.7233
Al  0.9530  0.2736  0.9059
Al  0.1383  0.1871  0.2767
Al  0.3170  0.0892  0.6340
Al  0.5926  0.4588  0.1852
Al  0.0470  0.7264  0.0941
Zn  0.7715  0.3632  0.5431
Zn  0.2285  0.6368  0.4569
Ga  0.5000  0.0000  0.0000

Entry 9:
This record from Alexandria describes a geometry-optimized Al7ZnGa3 structure. The functional is PBE.

Its calculated total energy is -34.3 eV/cell.

Cell lengths 6.7854, 6.2021, 6.2021 Å; angles 96.88, 109.46, 109.46 degrees
Positions (direct):
Al  0.2465  0.1429  0.1429
Al  0.2710  0.1170  0.6130
Al  0.7290  0.3870  0.8830
Al  0.2710  0.6130  0.1170
Al  0.0000  0.5000  0.5000
Al  0.7290  0.8830  0.3870
Al  0.7535  0.8571  0.8571
Zn  0.5000  0.5000  0.5000
Ga  0.0000  0.7692  0.2308
Ga  0.5000  0.0000  0.0000
Ga  0.0000  0.2308  0.7692

Entry 10:
This record from Alexandria describes a geometry-optimized AlZn4Ga structure. The functional is PBE.

Its calculated total energy is -11.3 eV/cell. The value obtained for the energy above the most stable polymorph in this dataset is 52.9 meV per atom.

Cell lengths 5.1957, 5.1957, 5.1957 Å; angles 60.00, 60.00, 60.00 degrees
Positions (direct):
Zn  0.6248  0.6248  0.1256
Zn  0.6248  0.1256  0.6248
Zn  0.6248  0.6248  0.6248
Zn  0.1256  0.6248  0.6248
Al  0.2500  0.2500  0.2500
Ga  0.0000  0.0000  0.0000

Entry 11:
This record from Alexandria describes a geometry-optimized Al3Zn4Ga2 structure. The functional is PBE.

Its calculated total energy is -43.4 eV/cell. The value obtained for the energy above the most stable polymorph in this dataset is 15.3 meV per atom.

Cell lengths 4.8562, 8.3238, 8.3238 Å; angles 80.27, 106.86, 106.86 degrees
Positions (direct):
Al  0.9885  0.3117  0.8972
Al  0.5115  0.1028  0.6883
Al  0.0115  0.6883  0.1028
Al  0.4885  0.8972  0.3117
Al  0.7500  0.4405  0.5595
Al  0.2500  0.5595  0.4405
Zn  0.4879  0.1634  0.0128
Zn  0.0121  0.9872  0.8366
Zn  0.5121  0.8366  0.9872
Zn  0.9879  0.0128  0.1634
Zn  0.9523  0.3400  0.2028
Zn  0.5477  0.7972  0.6600
Zn  0.0477  0.6600  0.7972
Zn  0.4523  0.2028  0.3400
Ga  0.5197  0.5275  0.2006
Ga  0.9803  0.7994  0.4725
Ga  0.4803  0.4725  0.7994
Ga  0.0197  0.2006  0.5275

Entry 12:
This record from Alexandria describes a geometry-optimized Al2ZnGa9 structure. The functional is PBE.

Its calculated total energy is -35.4 eV/cell.

Cell lengths 5.0287, 5.0287, 8.6218 Å; angles 90.00, 89.99, 90.00 degrees
Positions (direct):
Al  0.0000  0.0000  0.3305
Al  0.0000  0.0000  0.6695
Zn  0.0000  0.0000  0.0000
Ga  0.5000  0.5000  0.0000
Ga  0.5000  0.5000  0.3306
Ga  0.5000  0.5000  0.6694
Ga  0.5000  0.0000  0.1665
Ga  0.5000  0.0000  0.5000
Ga  0.5000  0.0000  0.8335
Ga  0.0000  0.5000  0.1665
Ga  0.0000  0.5000  0.5000
Ga  0.0000  0.5000  0.8335

Entry 13:
This record from Alexandria describes a geometry-optimized Al12Zn2Ga5 structure. The functional is PBE.

Its calculated total energy is -60.5 eV/cell.

Cell lengths 7.2306, 7.9594, 8.2259 Å; angles 119.94, 90.00, 117.01 degrees
Positions (direct):
Al  0.8837  0.7674  0.1133
Al  0.0775  0.5583  0.8574
Al  0.4808  0.5583  0.8574
Al  0.2058  0.8042  0.5118
Al  0.5985  0.8042  0.5118
Al  0.4249  0.8498  0.8066
Al  0.5751  0.1502  0.1934
Al  0.7942  0.1958  0.4882
Al  0.4015  0.1958  0.4882
Al  0.9225  0.4417  0.1426
Al  0.5192  0.4417  0.1426
Al  0.1163  0.2326  0.8867
Zn  0.8188  0.0000  0.0000
Zn  0.1812  0.0000  0.0000
Ga  0.1974  0.3948  0.4389
Ga  0.3766  0.7533  0.2096
Ga  0.0000  0.0000  0.5000
Ga  0.6234  0.2467  0.7904
Ga  0.8026  0.6052  0.5611

Entry 14:
This record from Alexandria describes a geometry-optimized AlZn4Ga7 structure. The functional is PBE.

Its calculated total energy is -29.5 eV/cell.

Cell lengths 3.1887, 3.1887, 23.9364 Å; angles 90.00, 90.00, 120.00 degrees
Positions (direct):
Al  0.0000  0.0000  0.5000
Zn  0.6667  0.3333  0.0820
Zn  0.3333  0.6667  0.9180
Zn  0.6667  0.3333  0.3337
Zn  0.3333  0.6667  0.6663
Ga  0.0000  0.0000  0.0000
Ga  0.6667  0.3333  0.5839
Ga  0.3333  0.6667  0.4161
Ga  0.6667  0.3333  0.8352
Ga  0.3333  0.6667  0.1648
Ga  0.0000  0.0000  0.2516
Ga  0.0000  0.0000  0.7484

Entry 15:
This record from Alexandria describes a geometry-optimized Al2Zn5Ga structure. The functional is PBE.

Its calculated total energy is -33.3 eV/cell. The value obtained for the energy above the most stable polymorph in this dataset is 0.0 meV per atom.

Cell lengths 4.0281, 5.5995, 11.2452 Å; angles 90.00, 90.00, 90.00 degrees
Positions (direct):
Al  0.5000  0.2514  0.6253
Al  0.5000  0.7486  0.3747
Al  0.5000  0.2486  0.1253
Al  0.5000  0.7514  0.8747
Zn  0.0000  0.0000  0.0000
Zn  0.0000  0.5000  0.5000
Zn  0.0000  0.5010  0.7447
Zn  0.0000  0.4990  0.2553
Zn  0.0000  0.9990  0.2447
Zn  0.0000  0.0010  0.7553
Zn  0.5000  0.2468  0.8733
Zn  0.5000  0.7532  0.1267
Zn  0.5000  0.2532  0.3733
Zn  0.5000  0.7468  0.6267
Ga  0.0000  0.0000  0.5000
Ga  0.0000  0.5000  0.0000

Entry 16:
This record from Alexandria describes a geometry-optimized AlZn2Ga9 structure. The functional is PBE.

Its calculated total energy is -32.7 eV/cell.

Cell lengths 4.7832, 4.7832, 9.5754 Å; angles 90.00, 90.00, 90.00 degrees
Positions (direct):
Al  0.0000  0.0000  0.0000
Zn  0.0000  0.0000  0.3354
Zn  0.0000  0.0000  0.6646
Ga  0.5000  0.5000  0.0000
Ga  0.5000  0.5000  0.3361
Ga  0.5000  0.5000  0.6639
Ga  0.5000  0.0000  0.1697
Ga  0.5000  0.0000  0.5000
Ga  0.5000  0.0000  0.8303
Ga  0.0000  0.5000  0.1697
Ga  0.0000  0.5000  0.5000
Ga  0.0000  0.5000  0.8303

Entry 17:
This record from Alexandria describes a geometry-optimized AlZnGa2 structure. The functional is PBE.

Its calculated total energy is -10.9 eV/cell. The value obtained for the energy above the most stable polymorph in this dataset is 21.9 meV per atom.

Cell lengths 4.1127, 4.1091, 4.1091 Å; angles 90.00, 90.00, 90.00 degrees
Positions (direct):
Zn  0.5000  0.0000  0.0000
Al  0.5000  0.5000  0.5000
Ga  0.0000  0.0000  0.5000
Ga  0.0000  0.5000  0.0000

Entry 18:
This record from Alexandria describes a geometry-optimized Al4Zn4Ga structure. The functional is PBE.

Its calculated total energy is -22.8 eV/cell.

Cell lengths 4.1121, 6.3069, 6.3069 Å; angles 83.90, 70.97, 70.97 degrees
Positions (direct):
Al  0.6684  0.6633  0.9998
Al  0.3316  0.3367  0.0002
Al  0.6683  0.0002  0.6633
Al  0.3317  0.9998  0.3367
Zn  0.6629  0.3374  0.3368
Zn  0.3371  0.6626  0.6632
Zn  0.9997  0.6632  0.3374
Zn  0.0003  0.3368  0.6626
Ga  0.0000  0.0000  0.0000

Entry 19:
This record from Alexandria describes a geometry-optimized Al5Zn2Ga2 structure. The functional is PBE.

Its calculated total energy is -52.9 eV/cell.

Cell lengths 8.3043, 5.9272, 8.2561 Å; angles 111.04, 120.19, 90.00 degrees
Positions (direct):
Al  0.8566  0.8403  0.1382
Al  0.1434  0.7021  0.8618
Al  0.7816  0.3403  0.1382
Al  0.2184  0.2021  0.8618
Al  0.6627  0.6714  0.7110
Al  0.3373  0.9605  0.2890
Al  0.5483  0.1714  0.7110
Al  0.4517  0.4605  0.2890
Al  0.9637  0.2545  0.5000
Al  0.0363  0.7545  0.5000
Zn  0.8793  0.3672  0.7949
Zn  0.1207  0.5723  0.2051
Zn  0.4156  0.8672  0.7949
Zn  0.5844  0.0723  0.2051
Ga  0.0000  0.0775  0.0000
Ga  0.5000  0.5775  0.0000
Ga  0.7241  0.8901  0.5000
Ga  0.2759  0.3901  0.5000

Entry 20:
This record from Alexandria describes a geometry-optimized Al5Zn2Ga structure. The functional is PBE.

Its calculated total energy is -23.6 eV/cell. The value obtained for the energy above the most stable polymorph in this dataset is 14.0 meV per atom.

Cell lengths 3.8608, 6.4351, 6.4351 Å; angles 74.25, 72.54, 72.54 degrees
Positions (direct):
Al  0.0000  0.5000  0.5000
Al  0.6439  0.5440  0.1682
Al  0.3561  0.4560  0.8318
Al  0.3561  0.8318  0.4560
Al  0.6439  0.1682  0.5440
Zn  0.7210  0.7790  0.7790
Zn  0.2790  0.2210  0.2210
Ga  0.0000  0.0000  0.0000